(1)
A plane-wave DFT calculation with GGA-PBEsol was carried out for an optimized crystal structure of Ti2GaC.

```
Ti2GaC
1.0
4.1626 0.0000 0.0000
2.0813 3.6050 0.0000
2.0813 1.2017 3.3988
Ga C Ti
1 1 2
direct
0.5000 0.5000 0.5000
0.0000 0.0000 0.0000
0.2500 0.2500 0.2500
0.7500 0.7500 0.7500
```

Properties
E_form in meV per atom: 449
Energy relative to the lowest polymorph listed for this composition in kJ/mol of formula units: 488.5



(2)
A plane-wave DFT calculation with GGA-PBEsol was carried out for an optimized crystal structure of Zn2InIr.

```
Zn2InIr
1.0
-2.9967 0.0660 -0.4872
-0.3098 -4.3871 1.3117
-0.5646 2.4948 3.8105
Ir Zn In
1 2 1
direct
0.5000 0.5000 0.5000
0.0000 0.5000 0.0000
0.0000 0.0000 0.5000
0.5000 0.0000 0.0000
```

Properties
E_form in meV per atom: 27



(3)
A plane-wave DFT calculation with GGA-PBEsol was carried out for an optimized crystal structure of NaZrPCl2.

```
NaZrPCl2
1.0
5.0312 0.0000 0.0000
0.0000 5.0280 0.0000
0.0000 0.0000 5.0280
Cl Na Zr P
2 1 1 1
direct
0.0000 0.0000 0.5000
0.0000 0.5000 0.0000
0.5000 0.5000 0.5000
0.0000 0.0000 0.0000
0.5000 0.0000 0.0000
```

Properties
E_form (uncorrected) in eV/atom: -1.040
Energy relative to the lowest polymorph listed for this composition in kJ/mol of formula units: 0.0



(4)
A plane-wave DFT calculation with GGA-PBEsol was carried out for an optimized crystal structure of Bi16Pt11I6.

```
Bi16Pt11I6
1.0
-8.8529 -0.8995 2.3102
1.0816 -13.8156 -1.2342
3.5924 -0.9167 13.4096
Pt I Bi
22 12 32
direct
0.4977 0.1419 0.0028
0.4977 0.8581 0.9972
0.5023 0.9972 0.8581
0.3553 0.0000 0.5000
0.5000 0.6996 0.3004
0.4912 0.3240 0.9067
0.4912 0.6760 0.0933
0.5023 0.6419 0.4972
0.4977 0.5028 0.3581
0.5088 0.1760 0.4068
0.5000 0.8004 0.8004
0.5023 0.0028 0.1419
0.6447 0.5000 0.0000
0.4977 0.4972 0.6419
0.5000 0.3004 0.6996
0.5088 0.9067 0.3240
0.5088 0.0933 0.6760
0.5023 0.3581 0.5028
0.4912 0.5933 0.8240
0.4912 0.4068 0.1760
0.5000 0.1996 0.1996
0.5088 0.8240 0.5933
0.0000 0.6183 0.3817
0.0087 0.8963 0.3035
0.0000 0.3817 0.6183
0.0087 0.1037 0.6965
0.9913 0.3963 0.1965
0.9913 0.6037 0.8035
0.0087 0.8035 0.6037
0.0087 0.1965 0.3963
0.0000 0.1183 0.1183
0.9913 0.3035 0.8963
0.0000 0.8817 0.8817
0.9913 0.6965 0.1037
0.3220 0.3248 0.3263
0.2945 0.7256 0.9286
0.7055 0.0714 0.2744
0.6780 0.6737 0.6752
0.6780 0.3263 0.3248
0.3220 0.6752 0.6737
0.2945 0.2744 0.0714
0.6858 0.6994 0.9387
0.6780 0.8248 0.1737
0.9465 0.5000 0.0000
0.2763 0.5000 0.5000
0.2763 0.0000 0.0000
0.0535 0.0000 0.5000
0.6858 0.3006 0.0613
0.2945 0.4286 0.7744
0.7237 0.0000 0.0000
0.6858 0.4387 0.8006
0.7055 0.2256 0.5714
0.3142 0.9387 0.6994
0.7055 0.9286 0.7256
0.6858 0.5613 0.1994
0.6780 0.1752 0.8263
0.3220 0.1737 0.8248
0.2945 0.5714 0.2256
0.3142 0.8006 0.4387
0.6482 0.0000 0.5000
0.3142 0.0613 0.3006
0.3220 0.8263 0.1752
0.7237 0.5000 0.5000
0.3518 0.5000 0.0000
0.7055 0.7744 0.4286
0.3142 0.1994 0.5613
```

Properties
E_form (uncorrected) in eV/atom: -0.294